Entry 1:
Compound: ZnCr2Re
Source: Alexandria
Functional: PBE
Structure: relaxed

The structure in POSCAR format:
```
ZnCr2Re
1.0
4.155 0.000 0.000
0.000 2.552 -0.007
0.000 1.067 4.954
Cr Re Zn
2 1 1
Direct
0.000 0.035 0.994 Cr
0.000 0.465 0.506 Cr
0.500 0.250 0.250 Re
0.500 0.750 0.750 Zn
```

Values from the calculation:
Theoretical density   11.236 g cm⁻³
Energy relative to the elements   0.20 eV/atom
Total magnetization   0.0 Bohr magnetons per cell

Entry 2:
Compound: ZnCrRe
Source: Alexandria
Functional: PBE
Structure: relaxed

The structure in POSCAR format:
```
ZnCrRe
1.0
-3.772 -1.604 -1.132
3.430 -2.510 0.112
-0.501 -0.573 2.481
Cr Re Zn
1 1 1
Direct
0.000 0.000 0.026 Cr
0.667 0.333 0.280 Re
0.333 0.667 0.694 Zn
```

Values from the calculation:
Theoretical density   12.408 g cm⁻³
Energy relative to the elements   0.14 eV/atom
Total magnetization   0.0 Bohr magnetons per cell

Entry 3:
Compound: ZnCrRe
Source: Alexandria
Functional: PBE
Structure: relaxed

The structure in POSCAR format:
```
ZnCrRe
1.0
-3.695 0.483 -2.656
-3.869 -2.000 1.403
3.274 3.069 0.895
Cr Re Zn
1 1 1
Direct
0.001 0.001 0.000 Cr
0.332 0.332 0.000 Re
0.666 0.666 0.000 Zn
```

Values from the calculation:
Theoretical density   12.424 g cm⁻³
Energy relative to the elements   0.21 eV/atom
Total magnetization   0.0 Bohr magnetons per cell

Entry 4:
Compound: Zn3CrRe
Source: Alexandria
Functional: PBE
Structure: relaxed

The structure in POSCAR format:
```
Zn3CrRe
1.0
4.809 0.000 0.000
0.000 4.809 0.000
0.000 0.000 4.809
Re Zn Cr
1 3 1
Direct
0.000 0.000 0.000 Re
0.000 0.500 0.000 Zn
0.000 0.000 0.500 Zn
0.500 0.000 0.000 Zn
0.500 0.500 0.500 Cr
```

Values from the calculation:
Theoretical density   6.488 g cm⁻³
Energy relative to the elements   1.16 eV/atom
Total magnetization   3.7 Bohr magnetons per cell

no.,density of states at the Fermi level (states/eV/atom),E (eV per formula unit)
1,0.87,-32.154
2,0.80,-22.933
3,0.82,-22.704
4,0.67,-20.076